PrErTlCu after structural relaxation, computed with PBE-GGA. Values from VASP.

Properties
density: 9.3 g/cm³
energy: -16.65 eV for the cell shown
energy relative to the elements: -0.211 eV/atom

Quantum ESPRESSO input file:
```
&SYSTEM
  ibrav = 0, nat = 4, ntyp = 4
/
ATOMIC_SPECIES
Pr 140.91 Pr.upf
Er 167.26 Er.upf
Tl 204.38 Tl.upf
Cu 63.55 Cu.upf
ATOMIC_POSITIONS crystal
Pr 0.000 0.000 0.000
Er 0.500 0.500 0.500
Tl 0.250 0.250 0.250
Cu 0.750 0.750 0.750
CELL_PARAMETERS angstrom
0.000 3.725 3.725
3.725 0.000 3.725
3.725 3.725 0.000
```



PrErZnCu after structural relaxation, computed with PBE-GGA. Values from VASP.

Properties
density: 7.9 g/cm³
ΔE to the lowest computed polymorph: 18 meV per atom
energy: -15.67 eV for the cell shown
energy relative to the elements: -0.240 eV/atom

Quantum ESPRESSO input file:
```
&SYSTEM
  ibrav = 0, nat = 4, ntyp = 4
/
ATOMIC_SPECIES
Pr 140.91 Pr.upf
Er 167.26 Er.upf
Zn 65.41 Zn.upf
Cu 63.55 Cu.upf
ATOMIC_POSITIONS crystal
Pr 0.000 0.000 0.000
Er 0.500 0.500 0.500
Zn 0.750 0.750 0.750
Cu 0.250 0.250 0.250
CELL_PARAMETERS angstrom
0.000 3.583 3.583
3.583 0.000 3.583
3.583 3.583 0.000
```



PrErZnCu after structural relaxation, computed with PBE-GGA. Values from VASP.

Properties
density: 7.9 g/cm³
ΔE to the lowest computed polymorph: 0 meV per atom
energy: -15.74 eV for the cell shown
energy relative to the elements: -0.257 eV/atom

Quantum ESPRESSO input file:
```
&SYSTEM
  ibrav = 0, nat = 4, ntyp = 4
/
ATOMIC_SPECIES
Pr 140.91 Pr.upf
Er 167.26 Er.upf
Zn 65.41 Zn.upf
Cu 63.55 Cu.upf
ATOMIC_POSITIONS crystal
Pr 0.000 0.000 0.000
Er 0.000 0.000 0.488
Zn 0.500 0.500 0.722
Cu 0.500 0.500 0.281
CELL_PARAMETERS angstrom
3.561 0.000 0.000
0.000 3.561 0.000
0.000 0.000 7.214
```